--- A ---
# CrGaSN2 PBE relaxed
# Crystal system ... tetragonal
# DOS(E_F) ... 3.18 states/eV/f.u.
data_CrGaSN2
_chemical_formula_sum 'Cr1 Ga1 S1 N2'
_cell_length_a 3.816
_cell_length_b 3.816
_cell_length_c 5.069
_cell_angle_alpha 90.00
_cell_angle_beta 90.00
_cell_angle_gamma 90.00
_space_group_name_H-M_alt 'P 1'
_space_group_IT_number 1
loop_
_space_group_symop_operation_xyz
'x,y,z'
loop_
_atom_site_label
_atom_site_fract_x
_atom_site_fract_y
_atom_site_fract_z
Cr1 0.000 0.000 0.000
Ga1 0.500 0.500 0.500
S1 0.500 0.500 0.000
N1 0.000 0.500 0.500
N2 0.500 0.000 0.500

=====

--- B ---
# CrGaSN2 PBE relaxed
# Crystal system ... tetragonal
# DOS(E_F) ... 3.30 states/eV/f.u.
data_CrGaSN2
_chemical_formula_sum 'Cr1 Ga1 S1 N2'
_cell_length_a 3.656
_cell_length_b 3.656
_cell_length_c 5.011
_cell_angle_alpha 90.00
_cell_angle_beta 90.00
_cell_angle_gamma 90.00
_space_group_name_H-M_alt 'P 1'
_space_group_IT_number 1
loop_
_space_group_symop_operation_xyz
'x,y,z'
loop_
_atom_site_label
_atom_site_fract_x
_atom_site_fract_y
_atom_site_fract_z
Cr1 0.000 0.000 0.000
Ga1 0.500 0.500 0.500
S1 0.000 0.000 0.500
N1 0.000 0.500 0.000
N2 0.500 0.000 0.000

=====

Quick one: most stable of them? B

=====

--- A ---
# CrGaS2N PBE relaxed
# Crystal system ... tetragonal
# DOS(E_F) ... 1.55 states/eV/f.u.
data_CrGaS2N
_chemical_formula_sum 'Cr1 Ga1 S2 N1'
_cell_length_a 4.835
_cell_length_b 4.835
_cell_length_c 3.704
_cell_angle_alpha 90.00
_cell_angle_beta 90.00
_cell_angle_gamma 90.00
_space_group_name_H-M_alt 'P 1'
_space_group_IT_number 1
loop_
_space_group_symop_operation_xyz
'x,y,z'
loop_
_atom_site_label
_atom_site_fract_x
_atom_site_fract_y
_atom_site_fract_z
Cr1 0.000 0.000 0.000
Ga1 0.500 0.500 0.500
S1 0.000 0.500 0.500
S2 0.500 0.000 0.500
N1 0.500 0.500 0.000

=====

--- B ---
# CrGaS2N PBE relaxed
# Crystal system ... tetragonal
# DOS(E_F) ... 2.31 states/eV/f.u.
data_CrGaS2N
_chemical_formula_sum 'Cr1 Ga1 S2 N1'
_cell_length_a 4.704
_cell_length_b 4.704
_cell_length_c 3.529
_cell_angle_alpha 90.00
_cell_angle_beta 90.00
_cell_angle_gamma 90.00
_space_group_name_H-M_alt 'P 1'
_space_group_IT_number 1
loop_
_space_group_symop_operation_xyz
'x,y,z'
loop_
_atom_site_label
_atom_site_fract_x
_atom_site_fract_y
_atom_site_fract_z
Cr1 0.000 0.000 0.000
Ga1 0.500 0.500 0.500
S1 0.000 0.500 0.000
S2 0.500 0.000 0.000
N1 0.000 0.000 0.500

=====

Quick one: most stable of them? B

=====

--- A ---
# CrGaSeN2 PBE relaxed
# Crystal system ... tetragonal
# DOS(E_F) ... 3.09 states/eV/f.u.
data_CrGaSeN2
_chemical_formula_sum 'Cr1 Ga1 Se1 N2'
_cell_length_a 3.694
_cell_length_b 3.694
_cell_length_c 5.246
_cell_angle_alpha 90.00
_cell_angle_beta 90.00
_cell_angle_gamma 90.00
_space_group_name_H-M_alt 'P 1'
_space_group_IT_number 1
loop_
_space_group_symop_operation_xyz
'x,y,z'
loop_
_atom_site_label
_atom_site_fract_x
_atom_site_fract_y
_atom_site_fract_z
Cr1 0.000 0.000 0.000
Ga1 0.500 0.500 0.500
Se1 0.000 0.000 0.500
N1 0.000 0.500 0.000
N2 0.500 0.000 0.000

=====

--- B ---
# CrGaSeN2 PBE relaxed
# Crystal system ... tetragonal
# DOS(E_F) ... 2.21 states/eV/f.u.
data_CrGaSeN2
_chemical_formula_sum 'Cr1 Ga1 Se1 N2'
_cell_length_a 3.860
_cell_length_b 3.860
_cell_length_c 5.376
_cell_angle_alpha 90.00
_cell_angle_beta 90.00
_cell_angle_gamma 90.00
_space_group_name_H-M_alt 'P 1'
_space_group_IT_number 1
loop_
_space_group_symop_operation_xyz
'x,y,z'
loop_
_atom_site_label
_atom_site_fract_x
_atom_site_fract_y
_atom_site_fract_z
Cr1 0.000 0.000 0.000
Ga1 0.500 0.500 0.500
Se1 0.500 0.500 0.000
N1 0.000 0.500 0.500
N2 0.500 0.000 0.500

=====

Quick one: most stable of them? A

=====

--- A ---
# Cr2GaWN PBE relaxed
# Crystal system ... tetragonal
# DOS(E_F) ... 4.69 states/eV/f.u.
data_Cr2GaWN
_chemical_formula_sum 'Cr2 Ga1 W1 N1'
_cell_length_a 4.788
_cell_length_b 4.788
_cell_length_c 3.494
_cell_angle_alpha 90.00
_cell_angle_beta 90.00
_cell_angle_gamma 90.00
_space_group_name_H-M_alt 'P 1'
_space_group_IT_number 1
loop_
_space_group_symop_operation_xyz
'x,y,z'
loop_
_atom_site_label
_atom_site_fract_x
_atom_site_fract_y
_atom_site_fract_z
Cr1 0.000 0.500 0.000
Cr2 0.500 0.000 0.000
Ga1 0.000 0.000 0.000
W1 0.500 0.500 0.500
N1 0.000 0.000 0.500

=====

--- B ---
# Cr2GaWN PBE relaxed
# Crystal system ... tetragonal
# DOS(E_F) ... 5.30 states/eV/f.u.
data_Cr2GaWN
_chemical_formula_sum 'Cr2 Ga1 W1 N1'
_cell_length_a 3.875
_cell_length_b 3.875
_cell_length_c 4.063
_cell_angle_alpha 90.00
_cell_angle_beta 90.00
_cell_angle_gamma 90.00
_space_group_name_H-M_alt 'P 1'
_space_group_IT_number 1
loop_
_space_group_symop_operation_xyz
'x,y,z'
loop_
_atom_site_label
_atom_site_fract_x
_atom_site_fract_y
_atom_site_fract_z
Cr1 0.000 0.500 0.000
Cr2 0.500 0.000 0.000
Ga1 0.000 0.000 0.500
W1 0.500 0.500 0.500
N1 0.500 0.500 0.000

=====

Quick one: most stable of them? B

=====

--- A ---
# NaCr2Ga2 PBE relaxed
# Crystal system ... tetragonal
# DOS(E_F) ... 4.27 states/eV/f.u.
data_NaCr2Ga2
_chemical_formula_sum 'Na2 Cr4 Ga4'
_cell_length_a 7.730
_cell_length_b 7.730
_cell_length_c 2.574
_cell_angle_alpha 90.00
_cell_angle_beta 90.00
_cell_angle_gamma 90.00
_space_group_name_H-M_alt 'P 1'
_space_group_IT_number 1
loop_
_space_group_symop_operation_xyz
'x,y,z'
loop_
_atom_site_label
_atom_site_fract_x
_atom_site_fract_y
_atom_site_fract_z
Na1 0.000 0.000 0.000
Na2 0.500 0.500 0.000
Cr1 0.102 0.398 0.000
Cr2 0.398 0.898 0.000
Cr3 0.602 0.102 0.000
Cr4 0.898 0.602 0.000
Ga1 0.188 0.688 0.500
Ga2 0.312 0.188 0.500
Ga3 0.688 0.812 0.500
Ga4 0.812 0.312 0.500

=====

--- B ---
# NaCr2Ga2 PBE relaxed
# Crystal system ... tetragonal
# DOS(E_F) ... 3.73 states/eV/f.u.
data_NaCr2Ga2
_chemical_formula_sum 'Na1 Cr2 Ga2'
_cell_length_a 5.082
_cell_length_b 5.082
_cell_length_c 5.082
_cell_angle_alpha 124.28
_cell_angle_beta 124.28
_cell_angle_gamma 82.73
_space_group_name_H-M_alt 'P 1'
_space_group_IT_number 1
loop_
_space_group_symop_operation_xyz
'x,y,z'
loop_
_atom_site_label
_atom_site_fract_x
_atom_site_fract_y
_atom_site_fract_z
Na1 0.000 0.000 0.000
Cr1 0.374 0.374 0.000
Cr2 0.626 0.626 0.000
Ga1 0.250 0.750 0.500
Ga2 0.750 0.250 0.500

=====

--- C ---
# NaCr2Ga2 PBE relaxed
# Crystal system ... tetragonal
# DOS(E_F) ... 5.02 states/eV/f.u.
data_NaCr2Ga2
_chemical_formula_sum 'Na2 Cr4 Ga4'
_cell_length_a 7.772
_cell_length_b 7.772
_cell_length_c 2.561
_cell_angle_alpha 90.00
_cell_angle_beta 90.00
_cell_angle_gamma 90.00
_space_group_name_H-M_alt 'P 1'
_space_group_IT_number 1
loop_
_space_group_symop_operation_xyz
'x,y,z'
loop_
_atom_site_label
_atom_site_fract_x
_atom_site_fract_y
_atom_site_fract_z
Na1 0.000 0.000 0.000
Na2 0.500 0.500 0.000
Cr1 0.102 0.398 0.500
Cr2 0.398 0.898 0.500
Cr3 0.602 0.102 0.500
Cr4 0.898 0.602 0.500
Ga1 0.186 0.686 0.000
Ga2 0.314 0.186 0.000
Ga3 0.686 0.814 0.000
Ga4 0.814 0.314 0.000

=====

Quick one: most stable of them? A

=====

--- A ---
# NaCrGa2 PBE relaxed
# Crystal system ... cubic
# DOS(E_F) ... 1.61 states/eV/f.u.
data_NaCrGa2
_chemical_formula_sum 'Na1 Cr1 Ga2'
_cell_length_a 4.623
_cell_length_b 4.623
_cell_length_c 4.623
_cell_angle_alpha 60.00
_cell_angle_beta 60.00
_cell_angle_gamma 60.00
_space_group_name_H-M_alt 'P 1'
_space_group_IT_number 1
loop_
_space_group_symop_operation_xyz
'x,y,z'
loop_
_atom_site_label
_atom_site_fract_x
_atom_site_fract_y
_atom_site_fract_z
Na1 0.000 0.000 0.000
Cr1 0.500 0.500 0.500
Ga1 0.250 0.250 0.250
Ga2 0.750 0.750 0.750

=====

--- B ---
# NaCrGa2 PBE relaxed
# Crystal system ... tetragonal
# DOS(E_F) ... 2.64 states/eV/f.u.
data_NaCrGa2
_chemical_formula_sum 'Na2 Cr2 Ga4'
_cell_length_a 9.687
_cell_length_b 9.687
_cell_length_c 9.687
_cell_angle_alpha 152.45
_cell_angle_beta 152.45
_cell_angle_gamma 39.35
_space_group_name_H-M_alt 'P 1'
_space_group_IT_number 1
loop_
_space_group_symop_operation_xyz
'x,y,z'
loop_
_atom_site_label
_atom_site_fract_x
_atom_site_fract_y
_atom_site_fract_z
Na1 0.000 0.000 0.000
Na2 0.750 0.250 0.500
Cr1 0.250 0.750 0.500
Cr2 0.500 0.500 0.000
Ga1 0.249 0.625 0.124
Ga2 0.375 0.499 0.624
Ga3 0.501 0.125 0.876
Ga4 0.875 0.751 0.376

=====

Quick one: most stable of them? A

=====

--- A ---
# NaCr3Ga PBE relaxed
# Crystal system ... cubic
# DOS(E_F) ... 1.61 states/eV/f.u.
data_NaCr3Ga
_chemical_formula_sum 'Na1 Cr3 Ga1'
_cell_length_a 4.886
_cell_length_b 4.886
_cell_length_c 4.886
_cell_angle_alpha 90.00
_cell_angle_beta 90.00
_cell_angle_gamma 90.00
_space_group_name_H-M_alt 'P 1'
_space_group_IT_number 1
loop_
_space_group_symop_operation_xyz
'x,y,z'
loop_
_atom_site_label
_atom_site_fract_x
_atom_site_fract_y
_atom_site_fract_z
Na1 0.000 0.000 0.000
Cr1 0.000 0.500 0.500
Cr2 0.500 0.000 0.500
Cr3 0.500 0.500 0.000
Ga1 0.500 0.500 0.500

=====

--- B ---
# NaCr3Ga PBE relaxed
# Crystal system ... cubic
# DOS(E_F) ... 4.24 states/eV/f.u.
data_NaCr3Ga
_chemical_formula_sum 'Na1 Cr3 Ga1'
_cell_length_a 4.992
_cell_length_b 4.992
_cell_length_c 4.992
_cell_angle_alpha 90.00
_cell_angle_beta 90.00
_cell_angle_gamma 90.00
_space_group_name_H-M_alt 'P 1'
_space_group_IT_number 1
loop_
_space_group_symop_operation_xyz
'x,y,z'
loop_
_atom_site_label
_atom_site_fract_x
_atom_site_fract_y
_atom_site_fract_z
Na1 0.000 0.000 0.000
Cr1 0.000 0.000 0.500
Cr2 0.000 0.500 0.000
Cr3 0.500 0.000 0.000
Ga1 0.500 0.500 0.500

=====

Quick one: most stable of them? A

=====

--- A ---
# Na3CrGa PBE relaxed
# Crystal system ... cubic
# DOS(E_F) ... 2.38 states/eV/f.u.
data_Na3CrGa
_chemical_formula_sum 'Na3 Cr1 Ga1'
_cell_length_a 5.681
_cell_length_b 5.681
_cell_length_c 5.681
_cell_angle_alpha 90.00
_cell_angle_beta 90.00
_cell_angle_gamma 90.00
_space_group_name_H-M_alt 'P 1'
_space_group_IT_number 1
loop_
_space_group_symop_operation_xyz
'x,y,z'
loop_
_atom_site_label
_atom_site_fract_x
_atom_site_fract_y
_atom_site_fract_z
Na1 0.000 0.000 0.500
Na2 0.000 0.500 0.000
Na3 0.500 0.000 0.000
Cr1 0.000 0.000 0.000
Ga1 0.500 0.500 0.500

=====

--- B ---
# Na3CrGa PBE relaxed
# Crystal system ... cubic
# DOS(E_F) ... 3.11 states/eV/f.u.
data_Na3CrGa
_chemical_formula_sum 'Na3 Cr1 Ga1'
_cell_length_a 5.564
_cell_length_b 5.564
_cell_length_c 5.564
_cell_angle_alpha 90.00
_cell_angle_beta 90.00
_cell_angle_gamma 90.00
_space_group_name_H-M_alt 'P 1'
_space_group_IT_number 1
loop_
_space_group_symop_operation_xyz
'x,y,z'
loop_
_atom_site_label
_atom_site_fract_x
_atom_site_fract_y
_atom_site_fract_z
Na1 0.000 0.000 0.500
Na2 0.000 0.500 0.000
Na3 0.500 0.000 0.000
Cr1 0.500 0.500 0.500
Ga1 0.000 0.000 0.000

=====

Quick one: most stable of them? B